Computed, not measured: a relaxed structure of TcMoPt2 at the PBE level of DFT.

Values from the calculation:
- energy above the lowest structure with this stoichiometry (meV/atom) = 699.3
- final energy (eV/atom) = -7.8762
- formation enthalpy at 0 K (eV/f.u.) = 1.8

Unit cell a=7.122 b=7.122 c=5.327 alpha=90.00 beta=90.00 gamma=90.00
Space group I-42d (No. 122)
One atom of each set of equivalent atoms:
Tc 0.000 0.000 0.000 [4 per cell]
Mo 0.000 0.000 0.500 [4 per cell]
Pt 0.247 0.250 0.625 [8 per cell]



Computed, not measured: a relaxed structure of CsKP3 at the PBE level of DFT.

Values from the calculation:
- energy above the lowest structure with this stoichiometry (meV/atom) = 0.0
- final energy (eV/atom) = -2.3591
- formation enthalpy at 0 K (eV/f.u.) = 6.4

Unit cell a=5.699 b=5.699 c=5.699 alpha=90.00 beta=90.00 gamma=90.00
Space group Pm-3m (No. 221)
One atom of each set of equivalent atoms:
Cs 0.000 0.000 0.000 [1 per cell]
K 0.500 0.500 0.500 [1 per cell]
P 0.000 0.500 0.500 [3 per cell]



Computed, not measured: a relaxed structure of PmCdGeAu at the PBE level of DFT.

Values from the calculation:
- final energy (eV/atom) = -3.8887
- formation enthalpy at 0 K (eV/f.u.) = -2.0

Unit cell a=7.094 b=7.094 c=7.094 alpha=90.00 beta=90.00 gamma=90.00
Space group F-43m (No. 216)
One atom of each set of equivalent atoms:
Pm 0.000 0.000 0.000 [4 per cell]
Cd 0.000 0.000 0.500 [4 per cell]
Ge 0.250 0.250 0.750 [4 per cell]
Au 0.250 0.250 0.250 [4 per cell]



Computed, not measured: a relaxed structure of Ba3Ga8Ge3 at the PBE level of DFT.

Values from the calculation:
- final energy (eV/atom) = -3.4482
- formation enthalpy at 0 K (eV/f.u.) = -4.4

Unit cell a=17.504 b=4.396 c=9.897 alpha=90.00 beta=110.81 gamma=90.00
Space group C2/m (No. 12)
One atom of each set of equivalent atoms:
Ba 0.000 0.000 0.000 [2 per cell]
Ba 0.208 0.500 0.675 [4 per cell]
Ga 0.023 0.500 0.707 [4 per cell]
Ga 0.118 0.000 0.401 [4 per cell]
Ga 0.121 0.500 0.270 [4 per cell]
Ga 0.174 0.000 0.908 [4 per cell]
Ge 0.000 0.000 0.500 [2 per cell]
Ge 0.166 0.500 0.048 [4 per cell]



- Which formula does entry 2 have?
  CsKP3



- formation enthalpy at 0 K of number 4 (Ba3Ga8Ge3)?
  -4.4 eV/f.u.



- Which value of formation enthalpy at 0 K does entry 4 give?
  -4.4 eV/f.u.



What did the second record say?
Computed, not measured: a relaxed structure of CsKP3 at the PBE level of DFT.

Values from the calculation:
- energy above the lowest structure with this stoichiometry (meV/atom) = 0.0
- final energy (eV/atom) = -2.3591
- formation enthalpy at 0 K (eV/f.u.) = 6.4

Unit cell a=5.699 b=5.699 c=5.699 alpha=90.00 beta=90.00 gamma=90.00
Space group Pm-3m (No. 221)
One atom of each set of equivalent atoms:
Cs 0.000 0.000 0.000 [1 per cell]
K 0.500 0.500 0.500 [1 per cell]
P 0.000 0.500 0.500 [3 per cell]